VASP calculation (GGA+U) on a relaxed Fe2B2O5 crystal.

DOS(E_F): 0.00 states/eV/f.u.
space-group type: P1
size of the total moment: 0.889 μB/atom
calculated density: 3.612 g cm⁻³
relative energy among the computed polymorphs: 0.052 eV/atom

Structure (POSCAR):
```
Fe2B2O5
1.0
3.205 0.000 0.000
0.248 5.018 0.000
0.132 2.366 6.098
Fe B O
2 2 5
Direct
0.000 0.000 0.000
0.483 0.512 0.601
0.554 0.444 0.114
0.906 0.083 0.499
0.005 0.190 0.658
0.500 0.732 0.059
0.506 0.309 0.968
0.663 0.291 0.333
0.990 0.813 0.502
```